Compound: TbSiRh3
Source: Alexandria
Functional: PBE
Structure: optimized geometry

abc: 6.2268 6.2268 6.2268
angles: 104.81 127.71 97.62
Last column: nearest neighbours and their distance in Å.
Fractional positions:
Si 0.5000 0.0000 0.5000  6 Rh 2.35-2.49
Si 0.5000 0.5000 0.0000  6 Rh 2.35-2.49
Tb 0.9955 0.7455 0.7500  5 Rh 2.75-2.88
Tb 0.0045 0.2545 0.2500  5 Rh 2.75-2.88
Rh 0.6694 0.9194 0.2500  2 Si 2.35
Rh 0.5000 0.2968 0.2968  2 Si 2.49, 4 Rh 2.72-2.74
Rh 0.0000 0.7032 0.2032  2 Si 2.49, 4 Rh 2.72-2.74
Rh 0.5000 0.7032 0.7032  2 Si 2.49, 4 Rh 2.72-2.74
Rh 0.3306 0.0806 0.7500  2 Si 2.35
Rh 0.0000 0.2968 0.7968  2 Si 2.49, 4 Rh 2.72-2.74

Summary:
The value obtained for the offset from the most stable computed form is 78 meV/atom. The space group is Imma (74). As for the crystal system: orthorhombic. The calculation puts the final energy at -7.129 eV per atom. The calculated density is 9.6 g/cm3. The value obtained for the energy relative to the elements, uncorrected is -68 kJ per mole of atoms.

Compound: Tb4SiRh4
Source: Alexandria
Functional: PBE
Structure: optimized geometry

abc: 5.5463 8.3808 8.3808
angles: 90.00 90.00 90.00
Last column: nearest neighbours and their distance in Å.
Fractional positions:
Rh 0.1100 0.8554 0.9833  1 Si 2.28
Rh 0.8900 0.3554 0.4833  1 Si 2.28
Rh 0.6100 0.4833 0.1446  1 Si 2.28
Rh 0.1100 0.6446 0.5167  1 Si 2.28
Rh 0.3900 0.5167 0.8554  1 Si 2.28
Rh 0.8900 0.1446 0.0167  1 Si 2.28
Rh 0.3900 0.9833 0.6446  1 Si 2.28
Rh 0.6100 0.0167 0.3554  1 Si 2.28
Tb 0.6123 0.6873 0.4608  4 Rh 2.82-3.15
Tb 0.8877 0.0392 0.6873  4 Rh 2.82-3.15
Tb 0.3877 0.3127 0.5392  4 Rh 2.82-3.15
Tb 0.6123 0.8127 0.0392  4 Rh 2.82-3.15
Tb 0.3877 0.1873 0.9608  4 Rh 2.82-3.15
Tb 0.1123 0.9608 0.3127  4 Rh 2.82-3.15
Tb 0.8877 0.4608 0.8127  4 Rh 2.82-3.15
Tb 0.1123 0.5392 0.1873  4 Rh 2.82-3.15
Si 0.2500 0.7500 0.7500  4 Rh 2.28
Si 0.7500 0.2500 0.2500  4 Rh 2.28

Summary:
The space group is P4_2/n (86). As for the crystal system: tetragonal. The calculation puts the final energy at -6.717 eV per atom. The calculated density is 9.2 g/cm3. The value obtained for the energy relative to the elements, uncorrected is -76 kJ per mole of atoms.

Compound: Tb2Si3Rh
Source: Alexandria
Functional: PBE
Structure: optimized geometry

abc: 8.1884 8.1884 7.9482
angles: 90.00 90.00 120.00
Last column: nearest neighbours and their distance in Å.
Fractional positions:
Si 0.1667 0.3333 0.0003  2 Si 2.36, 1 Rh 2.37
Si 0.1667 0.3333 0.4997  2 Si 2.36, 1 Rh 2.37
Si 0.8333 0.6667 0.5003  2 Si 2.36, 1 Rh 2.37
Si 0.8333 0.1667 0.9997  2 Si 2.36, 1 Rh 2.37
Si 0.1667 0.8333 0.0003  2 Si 2.36, 1 Rh 2.37
Si 0.3333 0.1667 0.9997  2 Si 2.36, 1 Rh 2.37
Si 0.6667 0.8333 0.0003  2 Si 2.36, 1 Rh 2.37
Si 0.3333 0.1667 0.5003  2 Si 2.36, 1 Rh 2.37
Si 0.6667 0.8333 0.4997  2 Si 2.36, 1 Rh 2.37
Si 0.8333 0.6667 0.9997  2 Si 2.36, 1 Rh 2.37
Si 0.8333 0.1667 0.5003  2 Si 2.36, 1 Rh 2.37
Si 0.1667 0.8333 0.4997  2 Si 2.36, 1 Rh 2.37
Rh 0.3333 0.6667 0.0287  3 Si 2.37
Rh 0.3333 0.6667 0.4713  3 Si 2.37
Rh 0.6667 0.3333 0.5287  3 Si 2.37
Rh 0.6667 0.3333 0.9713  3 Si 2.37
Tb 0.9849 0.4925 0.2500  4 Rh 3.03-3.16, 8 Si 3.05-3.13
Tb 0.0000 0.0000 0.2500  12 Si 3.09
Tb 0.0151 0.5075 0.7500  4 Rh 3.03-3.16, 8 Si 3.05-3.13
Tb 0.4925 0.5075 0.7500  4 Rh 3.03-3.16, 8 Si 3.05-3.13
Tb 0.5075 0.4925 0.2500  4 Rh 3.03-3.16, 8 Si 3.05-3.13
Tb 0.0000 0.0000 0.7500  12 Si 3.09
Tb 0.4925 0.9849 0.7500  4 Rh 3.03-3.16, 8 Si 3.05-3.13
Tb 0.5075 0.0151 0.2500  4 Rh 3.03-3.16, 8 Si 3.05-3.13

Summary:
The space group is P6_3/mmc (194). As for the crystal system: hexagonal. The calculation puts the final energy at -6.419 eV per atom. The calculated density is 7.3 g/cm3. The value obtained for the energy relative to the elements, uncorrected is -91 kJ per mole of atoms.